# 1
A plane-wave DFT calculation with GGA-PBE was carried out for SmEr2OsN4 after structural relaxation.

Cell and atoms, written as POSCAR:
```
SmEr2OsN4
1.0
1.701 -5.801 0.000
1.701 5.801 0.000
0.000 0.000 11.569
Sm Er Os N
2 4 2 8
Cartesian
1.701 4.368 8.676
1.701 -4.368 2.892
1.701 1.523 6.257
1.701 1.523 11.096
1.701 -1.523 0.473
1.701 -1.523 5.311
1.701 4.186 2.892
1.701 -4.186 8.676
0.000 0.000 0.000
0.000 0.000 5.784
1.701 2.711 1.475
1.701 2.711 4.309
1.701 0.618 8.676
1.701 -0.618 2.892
1.701 -2.711 7.259
1.701 -2.711 10.094
```

---

# 2
A plane-wave DFT calculation with GGA-PBE was carried out for BaNaBiBr6 after structural relaxation.

Cell and atoms, written as POSCAR:
```
BaNaBiBr6
1.0
7.851 0.000 0.000
-3.925 6.799 0.000
0.000 0.000 13.046
Ba Na Bi Br
2 2 2 12
Cartesian
0.000 4.533 3.262
3.925 2.266 9.785
0.000 0.000 0.000
0.000 0.000 6.523
0.000 4.533 9.785
3.925 2.266 3.262
-1.134 2.441 8.127
-2.379 4.597 11.443
1.134 2.441 11.443
-1.245 6.561 8.127
2.681 0.239 1.604
1.547 2.202 4.919
2.379 4.597 8.127
1.245 6.561 11.443
5.170 0.239 4.919
2.792 4.358 1.604
6.304 2.202 1.604
5.059 4.358 4.919
```

---

# 3
A plane-wave DFT calculation with GGA-PBE was carried out for ZnSeN2O after structural relaxation.

Cell and atoms, written as POSCAR:
```
ZnSeN2O
1.0
3.609 0.000 0.000
0.000 3.609 0.000
0.000 0.000 6.297
Zn Se N O
1 1 2 1
Cartesian
0.000 0.000 0.000
0.000 0.000 3.148
0.000 1.805 0.000
1.805 0.000 0.000
1.805 1.805 3.148
```

---

# 4
A plane-wave DFT calculation with GGA-PBE was carried out for ErPuN after structural relaxation.

Cell and atoms, written as POSCAR:
```
ErPuN
1.0
-2.234 2.234 3.727
2.234 -2.234 3.727
2.234 2.234 -3.727
Er Pu N
1 1 1
Cartesian
0.000 0.000 0.000
0.000 0.000 3.312
0.000 0.000 5.352
```

**Polymorph energy (0 for the lowest one)**: 1140 meV per atom

---

# 5
A plane-wave DFT calculation with GGA-PBE was carried out for NaSr3Pd after structural relaxation.

Cell and atoms, written as POSCAR:
```
NaSr3Pd
1.0
8.537 0.000 0.000
0.000 12.086 0.000
0.000 0.000 8.537
Na Sr Pd
4 12 4
Cartesian
0.014 3.022 0.005
4.255 9.065 4.273
4.282 3.022 4.263
8.523 9.065 8.531
0.004 3.022 4.275
8.533 9.065 4.262
2.021 12.084 6.515
2.021 6.046 6.515
2.247 0.003 2.246
2.247 6.040 2.246
4.272 3.022 8.530
4.265 9.065 0.007
6.290 12.084 6.290
6.290 6.046 6.290
6.516 0.003 2.022
6.516 6.040 2.022
0.000 0.000 4.268
0.000 6.043 4.268
4.268 0.000 0.000
4.268 6.043 0.000
```

**Polymorph energy (0 for the lowest one)**: 1 meV per atom
**Energy of formation**: -27 kJ/mol of atoms

---

# 6
A plane-wave DFT calculation with GGA-PBE was carried out for LaInTc2 after structural relaxation.

Cell and atoms, written as POSCAR:
```
LaInTc2
1.0
3.030 0.000 0.000
0.000 4.597 0.000
-0.075 0.000 5.753
La In Tc
1 1 2
Cartesian
0.000 0.000 0.000
1.478 0.000 2.877
0.708 2.298 4.551
2.247 2.298 1.202
```

**Energy of formation**: 41 kJ/mol of atoms

---

# 7
A plane-wave DFT calculation with GGA-PBE was carried out for Dy12Ge3O5 after structural relaxation.

Cell and atoms, written as POSCAR:
```
Dy12Ge3O5
1.0
-7.615 7.615 7.615
7.615 -7.615 7.615
7.615 7.615 -7.615
Dy Ge O
48 12 20
Cartesian
2.280 -0.557 0.802
9.142 4.609 -4.365
9.895 0.557 0.802
9.142 -3.006 4.365
7.057 -0.802 2.280
11.979 -1.527 3.006
0.802 2.280 -0.557
10.620 3.250 -1.527
4.609 4.365 -1.527
6.813 2.280 0.557
-0.557 0.802 2.280
4.365 -1.527 4.609
7.057 6.813 -2.280
4.365 1.527 3.006
4.609 -4.365 9.142
6.813 -2.280 7.057
3.006 4.365 1.527
8.416 5.335 0.557
4.365 9.142 -3.006
7.057 0.802 5.335
2.280 7.057 -0.802
9.142 3.006 3.250
1.527 3.006 4.365
2.280 0.557 6.813
5.335 7.057 0.802
6.087 4.609 3.250
-1.527 4.609 4.365
5.335 0.557 8.416
0.557 6.813 2.280
3.250 -1.527 10.620
-0.802 2.280 7.057
4.609 3.250 6.087
0.802 9.895 0.557
3.006 11.979 -1.527
3.250 6.087 4.609
0.557 0.802 9.895
3.250 9.142 3.006
8.172 6.813 5.335
0.802 5.335 7.057
3.006 3.250 9.142
-3.006 4.365 9.142
6.813 5.335 8.172
-4.365 9.142 4.609
0.557 8.416 5.335
-1.527 10.620 3.250
-2.280 7.057 6.813
-1.527 3.006 11.979
5.335 8.172 6.813
3.807 1.904 0.000
7.615 3.807 -1.904
1.904 0.000 3.807
9.518 0.000 3.807
0.000 3.807 1.904
3.807 -1.904 7.615
3.807 9.518 0.000
7.615 3.807 5.711
-1.904 7.615 3.807
5.711 7.615 3.807
0.000 3.807 9.518
3.807 5.711 7.615
0.000 0.000 0.000
3.807 3.807 -3.807
3.807 -3.807 3.807
7.615 0.000 0.000
11.422 1.904 0.000
7.615 -3.807 5.711
5.711 7.615 -3.807
5.711 0.000 3.807
3.807 5.711 0.000
7.615 3.807 1.904
-3.807 3.807 3.807
0.000 7.615 0.000
0.000 0.000 7.615
3.807 3.807 3.807
0.000 3.807 5.711
3.807 1.904 7.615
1.904 7.615 3.807
1.904 0.000 11.422
0.000 11.422 1.904
-3.807 5.711 7.615
```

---

# 8
A plane-wave DFT calculation with GGA-PBE was carried out for CeBe17Tc after structural relaxation.

Cell and atoms, written as POSCAR:
```
CeBe17Tc
1.0
3.763 2.172 3.660
-3.763 2.172 3.660
0.000 -4.345 3.660
Ce Be Tc
1 17 1
Cartesian
0.000 0.000 0.000
0.000 -2.117 1.882
-1.834 1.059 1.882
-1.883 -1.087 5.415
0.000 -2.090 5.296
-1.810 1.045 5.296
-1.046 -1.908 7.252
-2.176 0.048 7.252
1.834 1.059 1.882
0.000 0.000 6.143
1.046 -1.908 7.252
-1.129 1.860 7.252
1.883 -1.087 5.415
0.000 2.175 5.415
0.000 0.000 8.246
1.810 1.045 5.296
2.176 0.048 7.252
1.129 1.860 7.252
0.000 0.000 3.671
```

**Energy of formation**: -5 kJ/mol of atoms

---

no.,volume (Å³ per cell),theoretical density (g cm⁻³),E (eV for the cell shown)
1,228.2,10.6,-132.6
2,696.4,4.0,-59.1
3,82.0,3.8,-17.1
4,74.4,9.5,-26.4
5,880.8,3.0,-51.9
6,80.1,9.3,-26.7
7,1766.0,8.5,-509.7
8,179.5,3.6,-80.6